The following is a DFT calculation (PBE) of LuScFeSi2 after structural relaxation.

Structure (POSCAR):
```
LuScFeSi2
1.0
5.019 -2.005 0.000
5.019 2.005 0.000
-4.506 0.000 8.394
Si Fe Sc Lu
4 2 2 2
direct
0.356 0.356 0.940
0.496 0.496 0.630
0.644 0.644 0.060
0.504 0.504 0.370
0.732 0.732 0.875
0.268 0.268 0.125
0.002 0.002 0.831
0.998 0.998 0.169
0.190 0.190 0.611
0.810 0.810 0.389
```

Results
size of the total moment: 0.028 μB per formula unit
SG: No. 12
density: 6.52 g/cm³
distance to the lowest polymorph of the same formula: 0 meV/atom